Density functional theory data (PBE) for a relaxed Tb2NbCo crystal.

Summary:
**Calculated formation energy**: 0.594 eV/atom
**Volume**: 89.87 Å³ per cell
**Space-group type**: R-3m (166)

Cell: 3.2408 3.2408 10.0565 Å, 80.73 80.73 60.00°
Closest atoms and distances in Å follow each position.
Sites, in units of the cell vectors:
Co1 0.5000 0.5000 0.5000  6 Tb 2.70
Nb1 0.0000 0.0000 0.0000  2 Tb 2.99, 6 Nb 3.24
Tb1 0.1010 0.1010 0.6970  3 Co 2.70, 1 Nb 2.99
Tb2 0.8990 0.8990 0.3030  3 Co 2.70, 1 Nb 2.99

---

Density functional theory data (PBE) for a relaxed ZnInW2 crystal.

Summary:
**Calculated formation energy**: 0.508 eV/atom
**Excess energy over the best structure of this formula in the dataset**: 167 meV per atom
**Volume**: 67.59 Å³ per cell
**Space-group type**: C2/m (12)

Cell: 5.4020 5.3652 2.7847 Å, 81.32 77.55 116.58°
Closest atoms and distances in Å follow each position.
Sites, in units of the cell vectors:
In1 0.5000 0.5000 0.0000  2 Zn 2.76, 2 In 2.78, 4 W 2.83
W1 0.0000 0.0000 0.0000  4 W 2.76-2.78, 2 In 2.83, 2 Zn 2.83
W2 0.5000 0.0000 0.5000  4 W 2.76-2.78, 2 Zn 2.83, 2 In 2.83
Zn1 0.0000 0.5000 0.5000  2 In 2.76, 2 Zn 2.78, 4 W 2.83

---

Density functional theory data (PBE) for a relaxed MgZrF3 crystal.

Summary:
**Excess energy over the best structure of this formula in the dataset**: 0 meV per atom
**Volume**: 85.46 Å³ per cell
**Space-group type**: Pm-3m (221)
**E_form (uncorrected)**: -2.22 eV/atom

Cell: 4.4047 4.4047 4.4047 Å, 90.00 90.00 90.00°
Closest atoms and distances in Å follow each position.
Sites, in units of the cell vectors:
Mg1 0.5000 0.5000 0.5000  12 F 3.11
Zr1 0.0000 0.0000 0.0000  6 F 2.20
F1 0.0000 0.5000 0.0000  2 Zr 2.20
F2 0.0000 0.0000 0.5000  2 Zr 2.20
F3 0.5000 0.0000 0.0000  2 Zr 2.20

---

Density functional theory data (PBE) for a relaxed LaSe2S2 crystal.

Summary:
**Excess energy over the best structure of this formula in the dataset**: 0 meV per atom
**Volume**: 264.35 Å³ per cell
**Space-group type**: P4/mbm (127)
**E_form (uncorrected)**: -0.84 eV/atom

Cell: 7.7224 7.7224 4.4328 Å, 90.00 90.00 90.00°
Closest atoms and distances in Å follow each position.
Sites, in units of the cell vectors:
S1 0.3332 0.8332 0.0000  2 Se 2.42
S2 0.8332 0.6668 0.0000  2 Se 2.42
S3 0.6668 0.1668 0.0000  2 Se 2.42
S4 0.1668 0.3332 0.0000  2 Se 2.42
Se1 0.2443 0.7443 0.5000  2 S 2.42
Se2 0.7443 0.7557 0.5000  2 S 2.42
Se3 0.7557 0.2557 0.5000  2 S 2.42
Se4 0.2557 0.2443 0.5000  2 S 2.42
La1 0.0000 0.0000 0.0000  4 S 2.88
La2 0.5000 0.5000 0.0000  4 S 2.88

---

Density functional theory data (PBE) for a relaxed Ba4IrBr crystal.

Summary:
**Excess energy over the best structure of this formula in the dataset**: 0 meV per atom
**Volume**: 586.22 Å³ per cell
**Space-group type**: C2/c (15)
**E_form (uncorrected)**: -0.62 eV/atom

Cell: 7.9829 8.5421 10.2886 Å, 106.69 104.54 109.26°
Closest atoms and distances in Å follow each position.
Sites, in units of the cell vectors:
Ba1 0.3014 0.0442 0.6348  1 Ir 3.01
Ba2 0.0580 0.8481 0.1151  2 Ir 3.10-3.19, 1 Br 3.40
Ba3 0.1666 0.4094 0.3652  1 Ir 3.01
Ba4 0.4429 0.7330 0.8849  2 Ir 3.10-3.19, 1 Br 3.40
Ba5 0.6986 0.9558 0.3652  1 Ir 3.01
Ba6 0.8334 0.5906 0.6348  1 Ir 3.01
Ba7 0.9420 0.1519 0.8849  2 Ir 3.10-3.19, 1 Br 3.40
Ba8 0.5571 0.2670 0.1151  2 Ir 3.10-3.19, 1 Br 3.40
Ir1 0.8199 0.0699 0.1398  6 Ba 3.01-3.19
Ir2 0.1801 0.9301 0.8602  6 Ba 3.01-3.19
Br1 0.3110 0.5610 0.1220  6 Ba 3.40-3.66
Br2 0.6890 0.4390 0.8780  6 Ba 3.40-3.66

---

Density functional theory data (PBE) for a relaxed SrCe2Ni crystal.

Summary:
**Calculated formation energy**: 0.141 eV/atom
**Volume**: 131.96 Å³ per cell
**Space-group type**: R-3m (166)

Cell: 3.7913 3.7913 10.8238 Å, 79.91 79.91 60.00°
Closest atoms and distances in Å follow each position.
Sites, in units of the cell vectors:
Sr1 0.0000 0.0000 0.0000  2 Ce 3.65, 6 Sr 3.79
Ce1 0.1148 0.1148 0.6555  3 Ni 2.74
Ce2 0.8852 0.8852 0.3445  3 Ni 2.74
Ni1 0.5000 0.5000 0.5000  6 Ce 2.74

---

Density functional theory data (PBE) for a relaxed CaHo2MnN4 crystal.

Summary:
**Volume**: 228.63 Å³ per cell
**Space-group type**: Cmcm (63)
**E_form (uncorrected)**: -1.12 eV/atom

Cell: 3.4055 6.0228 11.6209 Å, 90.00 90.00 106.42°
Closest atoms and distances in Å follow each position.
Sites, in units of the cell vectors:
Ca1 0.1047 0.2094 0.7500  6 N 2.72-2.86
Ca2 0.8953 0.7906 0.2500  6 N 2.72-2.86
Ho1 0.3700 0.7400 0.5426  6 N 2.31-2.48
Ho2 0.6300 0.2600 0.0426  6 N 2.31-2.48
Ho3 0.6300 0.2600 0.4574  6 N 2.31-2.48
Ho4 0.3700 0.7400 0.9574  6 N 2.31-2.48
Mn1 0.8294 0.6588 0.7500  4 N 1.80-1.92
Mn2 0.1706 0.3412 0.2500  4 N 1.80-1.92
N1 0.2620 0.5239 0.1244  1 Mn 1.80
N2 0.7380 0.4761 0.6244  1 Mn 1.80
N3 0.7380 0.4761 0.8756  1 Mn 1.80
N4 0.2620 0.5239 0.3756  1 Mn 1.80
N5 0.0000 0.0000 0.5000  4 Ho 2.32
N6 0.0000 0.0000 0.0000  4 Ho 2.32
N7 0.4063 0.8127 0.7500  2 Mn 1.92
N8 0.5937 0.1873 0.2500  2 Mn 1.92

---

Density functional theory data (PBE) for a relaxed BeV2PAu crystal.

Summary:
**Calculated formation energy**: 0.249 eV/atom
**Volume**: 76.10 Å³ per cell
**Space-group type**: P4/mmm (123)

Cell: 4.3716 3.9820 4.3716 Å, 90.00 90.00 90.00°
Closest atoms and distances in Å follow each position.
Sites, in units of the cell vectors:
P1 0.0000 0.0000 0.0000  2 Be 1.99, 4 V 2.19
Au1 0.5000 0.5000 0.5000  8 V 2.96, 4 Be 3.09
Be1 0.0000 0.5000 0.0000  2 P 1.99
V1 0.0000 0.0000 0.5000  2 P 2.19
V2 0.5000 0.0000 0.0000  2 P 2.19

---

Density functional theory data (PBE) for a relaxed PrAl4 crystal.

Summary:
**Calculated formation energy**: 1.284 eV/atom
**Excess energy over the best structure of this formula in the dataset**: 1620 meV per atom
**Volume**: 181.95 Å³ per cell
**Space-group type**: Pm-3m (221)

Cell: 5.6665 5.6665 5.6665 Å, 90.00 90.00 90.00°
Closest atoms and distances in Å follow each position.
Sites, in units of the cell vectors:
Pr1 0.5000 0.5000 0.5000  6 Al 2.83
Al1 0.0000 0.0000 0.0000  12 Al 4.01
Al2 0.5000 0.0000 0.5000  2 Pr 2.83
Al3 0.0000 0.5000 0.5000  2 Pr 2.83
Al4 0.5000 0.5000 0.0000  2 Pr 2.83

---

Density functional theory data (PBE) for a relaxed BaRhCl2 crystal.

Summary:
**Excess energy over the best structure of this formula in the dataset**: 149 meV per atom
**Volume**: 96.02 Å³ per cell
**Space-group type**: R-3m (166)
**E_form (uncorrected)**: -0.94 eV/atom

Cell: 5.7259 5.7259 5.7259 Å, 48.33 48.33 48.33°
Closest atoms and distances in Å follow each position.
Sites, in units of the cell vectors:
Rh1 0.2500 0.2500 0.2500  6 Cl 2.86
Ba1 0.7500 0.7500 0.7500  8 Cl 3.14-3.45
Cl1 0.9777 0.9777 0.9777  3 Rh 2.86, 3 Ba 3.14
Cl2 0.5223 0.5223 0.5223  3 Rh 2.86, 3 Ba 3.14

---

Density functional theory data (PBE) for a relaxed BeZnFe2S crystal.

Summary:
**Volume**: 75.79 Å³ per cell
**Space-group type**: P4/mmm (123)
**E_form (uncorrected)**: 0.71 eV/atom

Cell: 4.1210 4.4631 4.1210 Å, 90.00 90.00 90.00°
Closest atoms and distances in Å follow each position.
Sites, in units of the cell vectors:
S1 0.0000 0.0000 0.0000  4 Fe 2.06, 2 Zn 2.23
Be1 0.5000 0.5000 0.5000  4 Zn 2.91, 8 Fe 3.04
Zn1 0.0000 0.5000 0.0000  2 S 2.23
Fe1 0.0000 0.0000 0.5000  2 S 2.06
Fe2 0.5000 0.0000 0.0000  2 S 2.06

---

Density functional theory data (PBE) for a relaxed La2BiRh2 crystal.

Summary:
**Calculated formation energy**: -0.591 eV/atom
**Excess energy over the best structure of this formula in the dataset**: 193 meV per atom
**Volume**: 134.86 Å³ per cell
**Space-group type**: I4/mmm (139)

Cell: 3.9763 3.9763 8.9808 Å, 77.21 77.21 90.00°
Closest atoms and distances in Å follow each position.
Sites, in units of the cell vectors:
Rh1 0.7500 0.2500 0.5000  4 Rh 2.81, 4 La 2.86
Rh2 0.2500 0.7500 0.5000  4 Rh 2.81, 4 La 2.86
Bi1 0.0000 0.0000 0.0000  8 La 3.58, 4 Bi 3.98
La1 0.3703 0.3703 0.2593  4 Rh 2.86
La2 0.6297 0.6297 0.7407  4 Rh 2.86

---

Density functional theory data (PBE) for a relaxed Ca2PuAl9 crystal.

Summary:
**Calculated formation energy**: -0.245 eV/atom
**Volume**: 240.73 Å³ per cell
**Space-group type**: R-3m (166)

Cell: 5.5667 5.5667 9.5288 Å, 73.02 73.02 60.00°
Closest atoms and distances in Å follow each position.
Sites, in units of the cell vectors:
Ca1 0.8587 0.8587 0.4238  12 Al 3.21-3.37, 3 Ca 3.49
Ca2 0.1413 0.1413 0.5762  12 Al 3.21-3.37, 3 Ca 3.49
Pu1 0.0000 0.0000 0.0000  18 Al 3.21-3.55
Al1 0.6654 0.6654 0.0039  6 Al 2.71-2.74
Al2 0.3346 0.3346 0.9961  6 Al 2.71-2.74
Al3 0.5000 0.5000 0.5000  6 Al 2.81
Al4 0.4161 0.4161 0.2449  7 Al 2.71-2.82
Al5 0.9230 0.4161 0.2449  7 Al 2.71-2.82
Al6 0.4161 0.9230 0.2449  7 Al 2.71-2.82
Al7 0.5839 0.5839 0.7551  7 Al 2.71-2.82
Al8 0.5839 0.0770 0.7551  7 Al 2.71-2.82
Al9 0.0770 0.5839 0.7551  7 Al 2.71-2.82

---

Density functional theory data (PBE) for a relaxed CaAcTlZn crystal.

Summary:
**Calculated formation energy**: -0.348 eV/atom
**Volume**: 121.69 Å³ per cell
**Space-group type**: F-43m (216)

Cell: 5.5623 5.5623 5.5623 Å, 60.00 60.00 60.00°
Closest atoms and distances in Å follow each position.
Sites, in units of the cell vectors:
Zn1 0.0000 0.0000 0.0000  4 Ac 3.41, 4 Ca 3.41
Ac1 0.7500 0.7500 0.7500  4 Tl 3.41, 4 Zn 3.41
Ca1 0.2500 0.2500 0.2500  4 Zn 3.41, 4 Tl 3.41
Tl1 0.5000 0.5000 0.5000  4 Ac 3.41, 4 Ca 3.41

---

Density functional theory data (PBE) for a relaxed Sm4ZnHg5 crystal.

Summary:
**Calculated formation energy**: -0.415 eV/atom
**Volume**: 260.06 Å³ per cell
**Space-group type**: C2/m (12)

Cell: 5.2122 6.4212 8.4158 Å, 103.13 108.04 90.00°
Closest atoms and distances in Å follow each position.
Sites, in units of the cell vectors:
Sm1 0.6872 0.3158 0.3745  6 Hg 2.98-3.32, 1 Zn 3.19
Sm2 0.0921 0.8328 0.1842  6 Hg 3.04-3.31, 2 Zn 3.30
Sm3 0.3128 0.6842 0.6255  6 Hg 2.98-3.32, 1 Zn 3.19
Sm4 0.9079 0.1672 0.8158  6 Hg 3.04-3.31, 2 Zn 3.30
Zn1 0.5000 0.0000 0.0000  6 Sm 3.19-3.30, 6 Hg 3.21-3.57
Hg1 0.2860 0.1609 0.5720  7 Sm 3.19-3.32, 3 Hg 3.35-3.45
Hg2 0.1013 0.3499 0.2026  5 Sm 2.98-3.29, 2 Hg 3.33
Hg3 0.8987 0.6501 0.7974  5 Sm 2.98-3.29, 2 Hg 3.33
Hg4 0.5000 0.5000 0.0000  2 Zn 3.21, 6 Hg 3.33-3.59, 6 Sm 3.47
Hg5 0.7140 0.8391 0.4280  7 Sm 3.19-3.32, 3 Hg 3.35-3.45

---

Density functional theory data (PBE) for a relaxed Ni2CI crystal.

Summary:
**Excess energy over the best structure of this formula in the dataset**: 15 meV per atom
**Volume**: 136.64 Å³ per cell
**Space-group type**: P1 (1)
**E_form (uncorrected)**: 0.24 eV/atom

Cell: 3.8410 4.0956 9.8549 Å, 93.40 90.31 117.92°
Closest atoms and distances in Å follow each position.
Sites, in units of the cell vectors:
I1 0.5898 0.4753 0.8592  4 Ni 2.59-2.86
I2 0.2991 0.9139 0.2097  4 Ni 2.62-2.69
Ni1 0.6827 0.6689 0.5828  3 C 1.87-2.00
Ni2 0.2496 0.7984 0.7366  1 C 1.88
Ni3 0.0007 0.3143 0.3433  1 C 1.88
Ni4 0.3346 0.9765 0.4789  3 C 1.95-2.04
C1 0.9181 0.1426 0.5185  1 C 1.40
C2 0.1049 0.5133 0.5691  1 C 1.40

---

Density functional theory data (PBE) for a relaxed TaReSb2 crystal.

Summary:
**Excess energy over the best structure of this formula in the dataset**: 695 meV per atom
**Volume**: 78.85 Å³ per cell
**Space-group type**: Cmmm (65)
**E_form (uncorrected)**: 0.74 eV/atom

Cell: 3.1210 3.1210 8.8252 Å, 90.00 90.00 113.48°
Closest atoms and distances in Å follow each position.
Sites, in units of the cell vectors:
Re1 0.5000 0.5000 0.7500  4 Sb 2.72
Sb1 0.0000 0.0000 0.9898  2 Re 2.72, 2 Ta 2.86
Sb2 0.0000 0.0000 0.5102  2 Re 2.72, 2 Ta 2.86
Ta1 0.5000 0.5000 0.2500  4 Sb 2.86, 4 Ta 3.12

---

Density functional theory data (PBE) for a relaxed CaPm3Y4 crystal.

Summary:
**Calculated formation energy**: 0.186 eV/atom
**Volume**: 276.29 Å³ per cell
**Space-group type**: C2/m (12)

Cell: 3.4596 6.9328 15.6260 Å, 131.80 96.36 90.00°
Closest atoms and distances in Å follow each position.
Sites, in units of the cell vectors:
Y1 0.3734 0.8799 0.7469  4 Y 3.32-3.61, 1 Ca 3.43, 3 Pm 3.52-3.57
Y2 0.6266 0.1201 0.2531  4 Y 3.32-3.61, 1 Ca 3.43, 3 Pm 3.52-3.57
Y3 0.6272 0.6432 0.2544  4 Y 3.32-3.61, 1 Ca 3.44, 3 Pm 3.54-3.57
Y4 0.3728 0.3568 0.7456  4 Y 3.32-3.61, 1 Ca 3.44, 3 Pm 3.54-3.57
Ca1 0.5000 0.0000 0.0000  4 Y 3.43-3.44, 2 Ca 3.46
Pm1 0.0000 0.5000 0.0000  2 Pm 3.46, 8 Y 3.78-3.79, 4 Ca 3.87
Pm2 0.2416 0.2274 0.4832  4 Pm 3.46-3.86, 6 Y 3.52-3.57
Pm3 0.7584 0.7726 0.5168  4 Pm 3.46-3.86, 6 Y 3.52-3.57

---

Density functional theory data (PBE) for a relaxed LaZrMn2 crystal.

Summary:
**Calculated formation energy**: 0.202 eV/atom
**Excess energy over the best structure of this formula in the dataset**: 45 meV per atom
**Volume**: 83.15 Å³ per cell
**Space-group type**: Amm2 (38)

Cell: 3.5721 4.2187 5.9089 Å, 69.03 90.00 90.00°
Closest atoms and distances in Å follow each position.
Sites, in units of the cell vectors:
La1 0.5000 0.7823 0.8106  7 Mn 3.04-3.26
Mn1 0.0000 0.1613 0.0505  2 Mn 2.13
Mn2 0.5000 0.0587 0.2592  2 Mn 2.13
Zr1 0.0000 0.4977 0.3797  6 Mn 2.78-2.84

---

Density functional theory data (PBE) for a relaxed PuPa6Os crystal.

Summary:
**Calculated formation energy**: 0.022 eV/atom
**Volume**: 206.42 Å³ per cell
**Space-group type**: C2/m (12)

Cell: 6.4701 6.6535 5.9297 Å, 55.87 83.11 77.65°
Closest atoms and distances in Å follow each position.
Sites, in units of the cell vectors:
Pu1 0.0000 0.0000 0.0000  6 Pa 2.46-2.51
Pa1 0.7462 0.3668 0.6595  1 Pu 2.51
Pa2 0.7462 0.0262 0.3405  1 Pu 2.51
Pa3 0.2538 0.9738 0.6595  1 Pu 2.51
Pa4 0.2538 0.6332 0.3405  1 Pu 2.51
Pa5 0.7958 0.7285 0.0000  1 Pu 2.46, 1 Os 2.69
Pa6 0.2042 0.2715 0.0000  1 Pu 2.46, 1 Os 2.69
Os1 0.5000 0.5000 0.0000  6 Pa 2.69-2.83